# 1
Computed, not measured: a relaxed structure of Ta2SbCl at the PBE level of DFT.

Lattice parameters (Å, degrees): 2.932 4.290 6.233 90.00 90.00 90.00
Atoms (fractional coordinates):
Cl  0.000  0.000  0.419
Sb  0.500  0.500  0.775
Ta  0.000  0.000  0.023
Ta  0.500  0.500  0.282

Results
space group	Pmm2 (25)
ΔE_f (raw)	0.1010	eV per atom
energy above the lowest structure with this stoichiometry	315.1	meV per atom
magnetization	0.0	μB per cell

# 2
Computed, not measured: a relaxed structure of Pr3Y6Ho2Sc at the PBE level of DFT.

Lattice parameters (Å, degrees): 6.203 6.203 11.814 95.02 95.02 119.99
Atoms (fractional coordinates):
Pr  0.167  0.833  0.500
Pr  0.833  0.167  0.500
Pr  0.500  0.500  0.500
Y  0.920  0.589  0.757
Y  0.750  0.750  0.243
Y  0.080  0.411  0.243
Y  0.589  0.920  0.757
Y  0.250  0.250  0.757
Y  0.411  0.080  0.243
Ho  0.334  0.666  0.000
Ho  0.666  0.334  0.000
Sc  0.000  0.000  0.000

Results
energy of formation from the pure elements	0.033	eV per atom
space group	C2/m (12)
magnetization	0.0	μB per cell